SiOsRu2 | GGA-PBE | relaxed

abc: 4.656 4.656 4.656
angles: 132.05 132.05 70.15
Atoms (fractional coordinates):
Si: 0.000 0.000 0.000
Os: 0.500 0.500 0.000
Ru: 0.250 0.750 0.500
Ru: 0.750 0.250 0.500

Properties
- E_form (uncorrected) (eV per formula unit) = -0.23
- volume (Å³/atom) = 13.6
- M_tot (μB per formula unit) = 0.0
- electronic total energy (eV/atom) = -8.857

SiOsRu2 | GGA-PBE | relaxed

abc: 8.464 8.464 8.464
angles: 18.74 18.74 18.74
Atoms (fractional coordinates):
Si: 0.000 0.000 0.000
Os: 0.500 0.500 0.500
Ru: 0.255 0.255 0.255
Ru: 0.745 0.745 0.745

Properties
- E_form (uncorrected) (eV per formula unit) = -0.34
- volume (Å³/atom) = 13.7
- M_tot (μB per formula unit) = 0.0
- electronic total energy (eV/atom) = -8.887

Si2OsRu | GGA-PBE | relaxed

abc: 4.910 4.910 4.910
angles: 137.60 137.60 61.52
Atoms (fractional coordinates):
Si: 0.000 0.000 0.000
Si: 0.750 0.250 0.500
Os: 0.250 0.750 0.500
Ru: 0.500 0.500 0.000

Properties
- E_form (uncorrected) (eV per formula unit) = -0.17
- volume (Å³/atom) = 13.3
- M_tot (μB per formula unit) = 0.0
- electronic total energy (eV/atom) = -7.880